Here is a geometry-optimized PrMgAu4 structure from Alexandria via LeMat-Bulk. Energies are from PBE.

Computed properties:
- calculated formation energy (eV per atom) = -0.417
- DOS(E_F) (states/eV/cell) = 1.4
- E_tot (eV for the cell shown) = -21.987
- total magnetic moment (μB per cell) = 0.000

Geometry as extended XYZ:
```
6
Lattice="4.4901 0.0000 0.0000 0.0000 4.4901 0.0000 0.0000 0.0000 7.2683" Properties=species:S:1:pos:R:3 pbc="T T T"
Pr 0.0000 0.0000 0.0000
Mg 2.2451 2.2451 3.6342
Au 0.0000 2.2451 2.0912
Au 0.0000 2.2451 5.1771
Au 2.2451 0.0000 2.0912
Au 2.2451 0.0000 5.1771
```